No. 1
# SrSiSbTe2 | Alexandria | GGA-PBE | relaxed
# volume = 43.96 Å³/atom
# uncorrected energy = -0.096 hartree per atom
# E_form (uncorrected) = 882 meV per atom
# distance to the lowest polymorph of the same formula = 5.56 eV per formula unit
# spin magnetization = 0.13 μB/f.u.
data_SrSiSbTe2
_cell_length_a 6.043
_cell_length_b 6.043
_cell_length_c 6.020
_cell_angle_alpha 90.00
_cell_angle_beta 90.00
_cell_angle_gamma 90.00
_symmetry_space_group_name_H-M 'P 4/m m m'
_symmetry_Int_Tables_number 123
_symmetry_space_group_name_Hall '-P 4 2'
loop_
_atom_site_label
_atom_site_fract_x
_atom_site_fract_y
_atom_site_fract_z
Sr1 0.000 0.000 0.000
Si1 0.500 0.500 0.500
Sb1 0.000 0.000 0.500
Te1 0.000 0.500 0.000



No. 2
# LaCd2Hg2 | Alexandria | GGA-PBE | relaxed
# volume = 25.96 Å³/atom
# uncorrected energy = -0.066 hartree per atom
# energy of formation = -31.3 kJ per mole of atoms
# distance to the lowest polymorph of the same formula = 0.00 eV per formula unit
# spin magnetization = 0.00 μB/f.u.
data_LaCd2Hg2
_cell_length_a 4.9827
_cell_length_b 4.9827
_cell_length_c 18.1092
_cell_angle_alpha 90.00
_cell_angle_beta 90.00
_cell_angle_gamma 120.00
_symmetry_space_group_name_H-M 'R -3 m'
_symmetry_Int_Tables_number 166
_symmetry_space_group_name_Hall '-R 3 2"'
loop_
_atom_site_label
_atom_site_fract_x
_atom_site_fract_y
_atom_site_fract_z
La1 0.0000 0.0000 0.0000
Cd1 0.0000 0.0000 0.2042
Hg1 0.0000 0.0000 0.4141



No. 3
# Cs4Ba3F10 | Alexandria | GGA-PBE | relaxed
# volume = 27.62 Å³/atom
# uncorrected energy = -0.179 hartree per atom
# E_form (uncorrected) = -3235 meV per atom
# spin magnetization = 0.20 μB/f.u.
data_Cs4Ba3F10
_cell_length_a 5.140
_cell_length_b 5.140
_cell_length_c 35.539
_cell_angle_alpha 90.00
_cell_angle_beta 90.00
_cell_angle_gamma 90.00
_symmetry_space_group_name_H-M 'I 4/m m m'
_symmetry_Int_Tables_number 139
_symmetry_space_group_name_Hall '-I 4 2'
loop_
_atom_site_label
_atom_site_fract_x
_atom_site_fract_y
_atom_site_fract_z
Cs1 0.000 0.000 0.072
Cs2 0.000 0.000 0.205
Ba1 0.000 0.000 0.355
Ba2 0.000 0.000 0.500
F1 0.000 0.000 0.283
F2 0.000 0.000 0.428
F3 0.000 0.500 0.000
F4 0.000 0.500 0.142



No. 4
# SmNbCo4 | Alexandria | GGA-PBE | relaxed
# volume = 14.17 Å³/atom
# uncorrected energy = -0.265 hartree per atom
# energy of formation = 0.4 kJ per mole of atoms
# spin magnetization = 1.90 μB/f.u.
data_SmNbCo4
_cell_length_a 6.980
_cell_length_b 6.980
_cell_length_c 6.980
_cell_angle_alpha 90.00
_cell_angle_beta 90.00
_cell_angle_gamma 90.00
_symmetry_space_group_name_H-M 'F -4 3 m'
_symmetry_Int_Tables_number 216
_symmetry_space_group_name_Hall 'F -4 2 3'
loop_
_atom_site_label
_atom_site_fract_x
_atom_site_fract_y
_atom_site_fract_z
Sm1 0.000 0.000 0.000
Nb1 0.250 0.250 0.250
Co1 0.125 0.125 0.625



No. 5
# Pm5Mg2Sn4 | Alexandria | GGA-PBE | relaxed
# volume = 31.46 Å³/atom
# uncorrected energy = -0.157 hartree per atom
# energy of formation = -35.2 kJ per mole of atoms
# spin magnetization = 1.94 μB/f.u.
data_Pm5Mg2Sn4
_cell_length_a 21.670
_cell_length_b 4.474
_cell_length_c 7.625
_cell_angle_alpha 90.00
_cell_angle_beta 110.55
_cell_angle_gamma 90.00
_symmetry_space_group_name_H-M 'C 1 2/m 1'
_symmetry_Int_Tables_number 12
loop_
_symmetry_equiv_pos_as_xyz
'x,y,z'
'-x,-y,-z'
'-x,y,-z'
'x,-y,z'
'x+1/2,y+1/2,z'
'-x+1/2,-y+1/2,-z'
'-x+1/2,y+1/2,-z'
'x+1/2,-y+1/2,z'
loop_
_atom_site_label
_atom_site_fract_x
_atom_site_fract_y
_atom_site_fract_z
Pm1 0.000 0.000 0.000
Pm2 0.161 0.500 0.398
Pm3 0.161 0.500 0.924
Mg1 0.073 0.000 0.574
Sn1 0.000 0.500 0.296
Sn2 0.212 0.000 0.712



No. 6
# Dy2Y4Er5 | Alexandria | GGA-PBE | relaxed
# volume = 32.92 Å³/atom
# uncorrected energy = -0.184 hartree per atom
# energy of formation = 25.2 kJ per mole of atoms
# distance to the lowest polymorph of the same formula = 1.78 eV per formula unit
# spin magnetization = 0.00 μB/f.u.
data_Dy2Y4Er5
_cell_length_a 3.496
_cell_length_b 8.975
_cell_length_c 23.088
_cell_angle_alpha 90.00
_cell_angle_beta 90.00
_cell_angle_gamma 90.00
_symmetry_space_group_name_H-M 'I m m m'
_symmetry_Int_Tables_number 71
_symmetry_space_group_name_Hall '-I 2 2'
loop_
_atom_site_label
_atom_site_fract_x
_atom_site_fract_y
_atom_site_fract_z
Dy1 0.000 0.000 0.232
Y1 0.000 0.000 0.098
Y2 0.000 0.307 0.500
Er1 0.000 0.197 0.355
Er2 0.000 0.500 0.000